Tb6Sm2Dy3Tm: optimized geometry, GGA-PBE.

Values from the calculation:
volume = 764.9 Å³/cell
raw total energy = -110.6 eV/cell

Cell: 6.166 10.670 11.805 Å, 90.00 99.96 90.00°
Space group C2/m (No. 12)
Asymmetric unit:
Tb1 0.248 0.000 0.249
Tb2 0.250 0.166 0.751
Sm1 0.000 0.333 0.500
Dy1 0.000 0.166 0.000
Dy2 0.000 0.500 0.000
Tm1 0.000 0.000 0.500

VCo3H: optimized geometry, GGA-PBE.

Values from the calculation:
distance to the lowest polymorph of the same formula = 21 meV per atom
volume = 92.1 Å³/cell

Cell: 4.072 4.436 5.100 Å, 89.24 89.08 88.96°
Space group P1 (No. 1)
Asymmetric unit:
V1 0.000 0.000 0.000
V2 0.490 0.671 0.469
Co1 0.487 0.655 0.987
Co2 0.490 0.167 0.737
Co3 0.494 0.164 0.232
Co4 0.989 0.500 0.230
Co5 0.990 0.002 0.483
Co6 0.992 0.498 0.743
H1 0.224 0.323 0.489
H2 0.740 0.834 0.738

HgPdBr4: optimized geometry, GGA-PBE.

Values from the calculation:
distance to the lowest polymorph of the same formula = 0 meV per atom
volume = 382.4 Å³/cell
formation energy from raw total energies = -0.346 eV/atom

Cell: 6.700 4.379 14.306 Å, 90.00 114.34 90.00°
Space group P2_1/c (No. 14)
Asymmetric unit:
Hg1 0.000 0.000 0.000
Pd1 0.500 0.000 0.500
Br1 0.213 0.159 0.881
Br2 0.314 0.000 0.617